The following is a DFT calculation (SCAN) of a PBEsol-optimized structure of CaFeAu.

```
CaFeAu
1.0
-3.046 2.022 -2.816
0.192 -0.775 -4.545
-3.275 -2.523 -2.051
Au Fe Ca
1 1 1
Direct
0.500 0.500 0.500
0.000 0.000 0.000
0.250 0.250 0.250
```

Values from the calculation:
Space-group type: F-43m (216)
Crystal system: cubic


The following is a DFT calculation (SCAN) of a PBEsol-optimized structure of CaFeAu.

```
CaFeAu
1.0
-3.309 -0.372 -0.299
0.471 -2.201 -2.473
1.542 -2.629 4.892
Au Fe Ca
1 1 1
Direct
0.969 0.969 0.938
0.365 0.365 0.730
0.666 0.666 0.332
```

Values from the calculation:
Space-group type: I4mm (107)
Crystal system: tetragonal


The following is a DFT calculation (SCAN) of a PBEsol-optimized structure of CaFeAu2.

```
CaFeAu2
1.0
-2.911 -0.808 3.543
-4.421 -1.191 -0.845
-1.451 -4.336 0.878
Au Fe Ca
2 1 1
Direct
0.250 0.250 0.250
0.000 0.000 0.000
0.750 0.750 0.750
0.500 0.500 0.500
```

Values from the calculation:
Space-group type: F-43m (216)
Crystal system: cubic


The following is a DFT calculation (SCAN) of a PBEsol-optimized structure of Ca3FeAu.

```
Ca3FeAu
1.0
5.519 0.000 0.000
0.000 5.519 0.000
0.000 0.000 5.519
Fe Ca Au
1 3 1
Direct
0.500 0.500 0.500
0.000 0.000 0.500
0.000 0.500 0.000
0.500 0.000 0.000
0.000 0.000 0.000
```

Values from the calculation:
Space-group type: Pm-3m (221)
Crystal system: cubic


The following is a DFT calculation (SCAN) of a PBEsol-optimized structure of Ca2FeAu.

```
Ca2FeAu
1.0
3.439 0.000 0.000
0.000 5.037 0.018
0.000 -0.041 5.037
Fe Au Ca
1 1 2
Direct
0.500 0.000 0.000
0.500 0.500 0.500
0.000 0.500 0.000
0.000 0.000 0.500
```

Values from the calculation:
Space-group type: Cmmm (65)
Crystal system: orthorhombic


The following is a DFT calculation (SCAN) of a PBEsol-optimized structure of CaFeAu2.

```
CaFeAu2
1.0
3.136 0.000 0.000
0.000 3.397 0.000
0.000 0.000 6.856
Fe Au Ca
1 2 1
Direct
0.500 0.500 0.500
0.000 0.000 0.705
0.000 0.000 0.295
0.500 0.500 0.000
```

Values from the calculation:
Space-group type: Pmmm (47)
Crystal system: orthorhombic


Number 1: E_tot -31.8410 eV/atom. Number 2: E_tot -32.4198 eV/atom. Number 3: E_tot -41.6622 eV/atom. Number 4: E_tot -23.0812 eV/atom. Number 5: E_tot -26.8075 eV/atom. Number 6: E_tot -41.9117 eV/atom.